[1]
SiPIr: relaxed, GGA-PBE.

Cell lengths 3.826, 6.220, 4.491 Å; angles 90.00, 117.10, 90.00 degrees
Element x y z (fractional)
P 0.000 0.791 0.000
P 0.000 0.291 0.500
Si 0.500 0.642 0.500
Si 0.500 0.142 0.000
Ir 0.000 0.403 0.000
Ir 0.000 0.903 0.500

Results
**Formation energy from raw total energies**: -0.018 eV per atom
**Space group**: No. 5
**DOS(E_F)**: 0.2397 states/eV per atom
**ρ**: 8.8 g cm⁻³

[2]
SiP2Ir: relaxed, GGA-PBE.

Cell lengths 2.770, 2.770, 8.881 Å; angles 90.00, 90.00, 120.16 degrees
Element x y z (fractional)
Ir 0.500 0.500 0.750
P 0.000 0.000 0.984
P 0.000 0.000 0.516
Si 0.500 0.500 0.250

Results
**Formation energy from raw total energies**: 0.401 eV per atom
**Space group**: No. 65
**DOS(E_F)**: 0.2946 states/eV per atom
**ρ**: 8.0 g cm⁻³

[3]
Si3PIr: relaxed, GGA-PBE.

Cell lengths 4.350, 4.350, 4.350 Å; angles 90.00, 90.00, 90.00 degrees
Element x y z (fractional)
P 0.000 0.000 0.000
Si 0.000 0.500 0.000
Si 0.000 0.000 0.500
Si 0.500 0.000 0.000
Ir 0.500 0.500 0.500

Results
**Formation energy from raw total energies**: 0.963 eV per atom
**Space group**: No. 221
**DOS(E_F)**: 0.4990 states/eV per atom
**ρ**: 6.2 g cm⁻³